VASP calculation (PBE) on a geometry-optimized NaZnAgS2 structure.

Unit cell a=4.980 b=4.828 c=4.980 alpha=90.00 beta=90.00 gamma=90.00
Each line ends with the local moment (μB).
Fractional coordinates of all 5 atoms:
Na (0.000, 0.000, 0.000)  0.00
Zn (0.500, 0.500, 0.500)  -0.01
S (0.000, 0.000, 0.500)  0.05
S (0.500, 0.000, 0.000)  0.04
Ag (0.000, 0.500, 0.000)  0.00

Output
- Energy: -2.015 eV per atom
- Formation energy (no corrections): 0.725 eV/atom
- V: 23.95 Å³ per atom